## GePdW3 (SCAN)

Data for a crystal of GePdW3 relaxed with PBEsol. Values from VASP.

The structure in Quantum ESPRESSO input format:
```
&SYSTEM
  ibrav = 0, nat = 5, ntyp = 3
/
ATOMIC_SPECIES
Ge 72.64 Ge.upf
W 183.84 W.upf
Pd 106.42 Pd.upf
CELL_PARAMETERS angstrom
-0.895 -4.408 -0.364
1.760 -0.695 4.097
-4.058 0.671 1.857
ATOMIC_POSITIONS crystal
Ge 0.000 0.000 0.000
W 0.500 0.000 0.000
Pd 0.500 0.500 0.500
W 0.000 0.000 0.500
W 0.000 0.500 0.000
```

N(E_F)	3.64	states/eV/cell
total magnetization	0.000	μB/f.u.
energy of formation	1876.1	meV/atom